A.
## Ho6In3Co (PBE)

Data for Ho6In3Co after structural relaxation.

CIF file:
```
data_Ho6In3Co
_space_group_name_H-M_alt 'P 1 21/m 1'
_space_group_IT_number 11
_space_group_name_Hall '-P 2yb'
_cell_length_a 9.153
_cell_length_b 5.243
_cell_length_c 11.311
_cell_angle_alpha 90.00
_cell_angle_beta 108.40
_cell_angle_gamma 90.00
loop_
_atom_site_label
_atom_site_fract_x
_atom_site_fract_y
_atom_site_fract_z
Ho1 0.044 0.250 0.418
Ho2 0.196 0.750 0.166
Ho3 0.285 0.250 0.005
Ho4 0.350 0.750 0.833
Ho5 0.374 0.250 0.346
Ho6 0.395 0.250 0.653
In1 0.010 0.750 0.879
In2 0.092 0.250 0.721
In3 0.275 0.750 0.477
Co1 0.463 0.750 0.092
```

Results
Its density is 9.0 Mg/m³.

***

B.
## Ho6In3Co (PBE)

Data for Ho6In3Co after structural relaxation.

CIF file:
```
data_Ho6In3Co
_space_group_name_H-M_alt 'P n n m'
_space_group_IT_number 58
_space_group_name_Hall '-P 2 2n'
_cell_length_a 9.109
_cell_length_b 11.274
_cell_length_c 5.120
_cell_angle_alpha 90.00
_cell_angle_beta 90.00
_cell_angle_gamma 90.00
loop_
_atom_site_label
_atom_site_fract_x
_atom_site_fract_y
_atom_site_fract_z
Ho1 0.021 0.227 0.000
Ho2 0.157 0.073 0.500
Ho3 0.193 0.408 0.500
In1 0.000 0.500 0.000
In2 0.147 0.720 0.500
Co1 0.000 0.000 0.000
```

Results
Its density is 8.8 Mg/m³.

***

Top of the stability list: A, leading by 22 meV per atom.

***

A.
## Ho8In3Co (PBE)

Data for Ho8In3Co after structural relaxation.

CIF file:
```
data_Ho8In3Co
_space_group_name_H-M_alt 'I 4/m m m'
_space_group_IT_number 139
_space_group_name_Hall '-I 4 2'
_cell_length_a 7.115
_cell_length_b 7.115
_cell_length_c 14.342
_cell_angle_alpha 90.00
_cell_angle_beta 90.00
_cell_angle_gamma 90.00
loop_
_atom_site_label
_atom_site_fract_x
_atom_site_fract_y
_atom_site_fract_z
Ho1 0.235 0.235 0.117
In1 0.000 0.000 0.500
In2 0.000 0.500 0.250
Co1 0.000 0.000 0.000
```

Results
Its density is 7.9 Mg/m³.

***

B.
## Ho8In3Co (PBE)

Data for Ho8In3Co after structural relaxation.

CIF file:
```
data_Ho8In3Co
_space_group_name_H-M_alt 'P 63 m c'
_space_group_IT_number 186
_space_group_name_Hall 'P 6c -2c'
_cell_length_a 10.3200
_cell_length_b 10.3200
_cell_length_c 6.9794
_cell_angle_alpha 90.00
_cell_angle_beta 90.00
_cell_angle_gamma 120.00
loop_
_atom_site_label
_atom_site_fract_x
_atom_site_fract_y
_atom_site_fract_z
Ho1 0.0000 0.0000 0.2801
Ho2 0.0702 0.5351 0.2928
Ho3 0.1783 0.3567 0.0000
Ho4 0.3333 0.6667 0.6837
In1 0.1628 0.3256 0.5397
Co1 0.3333 0.6667 0.0706
```

Results
Its density is 8.9 Mg/m³.

***

Top of the stability list: B, leading by 273 meV per atom.

***

A.
## Ho4In2Co (PBE)

Data for Ho4In2Co after structural relaxation.

CIF file:
```
data_Ho4In2Co
_space_group_name_H-M_alt 'P 1 2/m 1'
_space_group_IT_number 10
_space_group_name_Hall '-P 2y'
_cell_length_a 6.392
_cell_length_b 3.607
_cell_length_c 8.916
_cell_angle_alpha 90.00
_cell_angle_beta 110.24
_cell_angle_gamma 90.00
loop_
_atom_site_label
_atom_site_fract_x
_atom_site_fract_y
_atom_site_fract_z
Ho1 0.128 0.000 0.261
Ho2 0.338 0.500 0.647
In1 0.263 0.500 0.997
Co1 0.500 0.000 0.500
```

Results
Its density is 8.2 Mg/m³.

***

B.
## Ho4In2Co (PBE)

Data for Ho4In2Co after structural relaxation.

CIF file:
```
data_Ho4In2Co
_space_group_name_H-M_alt 'I 4/m m m'
_space_group_IT_number 139
_space_group_name_Hall '-I 4 2'
_cell_length_a 4.943
_cell_length_b 4.943
_cell_length_c 16.105
_cell_angle_alpha 90.00
_cell_angle_beta 90.00
_cell_angle_gamma 90.00
loop_
_atom_site_label
_atom_site_fract_x
_atom_site_fract_y
_atom_site_fract_z
Ho1 0.000 0.000 0.172
Ho2 0.000 0.500 0.000
In1 0.000 0.000 0.364
Co1 0.000 0.000 0.000
```

Results
Its density is 8.0 Mg/m³.

***

Top of the stability list: A, leading by 46 meV per atom.

***

A.
## TbHoInCo (PBE)

Data for TbHoInCo after structural relaxation.

CIF file:
```
data_TbHoInCo
_space_group_name_H-M_alt 'F -4 3 m'
_space_group_IT_number 216
_space_group_name_Hall 'F -4 2 3'
_cell_length_a 7.193
_cell_length_b 7.193
_cell_length_c 7.193
_cell_angle_alpha 90.00
_cell_angle_beta 90.00
_cell_angle_gamma 90.00
loop_
_atom_site_label
_atom_site_fract_x
_atom_site_fract_y
_atom_site_fract_z
Tb1 0.000 0.000 0.000
Ho1 0.000 0.000 0.500
In1 0.250 0.250 0.750
Co1 0.250 0.250 0.250
```

Results
Its density is 8.9 Mg/m³.

***

B.
## TbHoInCo (PBE)

Data for TbHoInCo after structural relaxation.

CIF file:
```
data_TbHoInCo
_space_group_name_H-M_alt 'P 4 m m'
_space_group_IT_number 99
_space_group_name_Hall 'P 4 -2'
_cell_length_a 3.436
_cell_length_b 3.436
_cell_length_c 7.690
_cell_angle_alpha 90.00
_cell_angle_beta 90.00
_cell_angle_gamma 90.00
loop_
_atom_site_label
_atom_site_fract_x
_atom_site_fract_y
_atom_site_fract_z
Tb1 0.000 0.000 0.000
Ho1 0.000 0.000 0.575
In1 0.500 0.500 0.290
Co1 0.500 0.500 0.783
```

Results
Its density is 9.1 Mg/m³.

***

Top of the stability list: B, leading by 118 meV per atom.

***

A.
## HoLuCo (PBE)

Data for HoLuCo after structural relaxation.

CIF file:
```
data_HoLuCo
_space_group_name_H-M_alt 'F -4 3 m'
_space_group_IT_number 216
_space_group_name_Hall 'F -4 2 3'
_cell_length_a 6.541
_cell_length_b 6.541
_cell_length_c 6.541
_cell_angle_alpha 90.00
_cell_angle_beta 90.00
_cell_angle_gamma 90.00
loop_
_atom_site_label
_atom_site_fract_x
_atom_site_fract_y
_atom_site_fract_z
Ho1 0.000 0.000 0.000
Lu1 0.000 0.000 0.500
Co1 0.250 0.250 0.250
```

Results
Its density is 9.5 Mg/m³.

***

B.
## HoLuCo (PBE)

Data for HoLuCo after structural relaxation.

CIF file:
```
data_HoLuCo
_space_group_name_H-M_alt 'I 4 m m'
_space_group_IT_number 107
_space_group_name_Hall 'I 4 -2'
_cell_length_a 3.318
_cell_length_b 3.318
_cell_length_c 12.381
_cell_angle_alpha 90.00
_cell_angle_beta 90.00
_cell_angle_gamma 90.00
loop_
_atom_site_label
_atom_site_fract_x
_atom_site_fract_y
_atom_site_fract_z
Ho1 0.000 0.000 0.000
Lu1 0.000 0.000 0.258
Co1 0.000 0.000 0.632
```

Results
Its density is 9.7 Mg/m³.

***

C.
## HoLuCo (PBE)

Data for HoLuCo after structural relaxation.

CIF file:
```
data_HoLuCo
_space_group_name_H-M_alt 'P 3 m 1'
_space_group_IT_number 156
_space_group_name_Hall 'P 3 -2"'
_cell_length_a 3.8115
_cell_length_b 3.8115
_cell_length_c 6.0750
_cell_angle_alpha 90.00
_cell_angle_beta 90.00
_cell_angle_gamma 120.00
loop_
_atom_site_label
_atom_site_fract_x
_atom_site_fract_y
_atom_site_fract_z
Ho1 0.0000 0.0000 0.0000
Lu1 0.3333 0.6667 0.4681
Co1 0.6667 0.3333 0.2375
```

Results
Its density is 8.7 Mg/m³.

***

Top of the stability list: B, leading by 69 meV per atom.

***

A.
## HoLu2Co (PBE)

Data for HoLu2Co after structural relaxation.

CIF file:
```
data_HoLu2Co
_space_group_name_H-M_alt 'P 4/m m m'
_space_group_IT_number 123
_space_group_name_Hall '-P 4 2'
_cell_length_a 3.322
_cell_length_b 3.322
_cell_length_c 8.684
_cell_angle_alpha 90.00
_cell_angle_beta 90.00
_cell_angle_gamma 90.00
loop_
_atom_site_label
_atom_site_fract_x
_atom_site_fract_y
_atom_site_fract_z
Ho1 0.000 0.000 0.000
Lu1 0.500 0.500 0.318
Co1 0.000 0.000 0.500
```

Results
Its density is 9.9 Mg/m³.

***

B.
## HoLu2Co (PBE)

Data for HoLu2Co after structural relaxation.

CIF file:
```
data_HoLu2Co
_space_group_name_H-M_alt 'R -3 m'
_space_group_IT_number 166
_space_group_name_Hall '-R 3 2"'
_cell_length_a 3.5016
_cell_length_b 3.5016
_cell_length_c 30.4825
_cell_angle_alpha 90.00
_cell_angle_beta 90.00
_cell_angle_gamma 120.00
loop_
_atom_site_label
_atom_site_fract_x
_atom_site_fract_y
_atom_site_fract_z
Ho1 0.0000 0.0000 0.0000
Lu1 0.0000 0.0000 0.1134
Co1 0.0000 0.0000 0.5000
```

Results
Its density is 8.8 Mg/m³.

***

Top of the stability list: A, leading by 256 meV per atom.

***

A.
## Ho2LuCo (PBE)

Data for Ho2LuCo after structural relaxation.

CIF file:
```
data_Ho2LuCo
_space_group_name_H-M_alt 'P 4/m m m'
_space_group_IT_number 123
_space_group_name_Hall '-P 4 2'
_cell_length_a 3.394
_cell_length_b 3.394
_cell_length_c 8.580
_cell_angle_alpha 90.00
_cell_angle_beta 90.00
_cell_angle_gamma 90.00
loop_
_atom_site_label
_atom_site_fract_x
_atom_site_fract_y
_atom_site_fract_z
Ho1 0.000 0.000 0.188
Lu1 0.500 0.500 0.500
Co1 0.500 0.500 0.000
```

Results
Its density is 9.5 Mg/m³.

***

B.
## Ho2LuCo (PBE)

Data for Ho2LuCo after structural relaxation.

CIF file:
```
data_Ho2LuCo
_space_group_name_H-M_alt 'R -3 m'
_space_group_IT_number 166
_space_group_name_Hall '-R 3 2"'
_cell_length_a 3.6187
_cell_length_b 3.6187
_cell_length_c 27.8299
_cell_angle_alpha 90.00
_cell_angle_beta 90.00
_cell_angle_gamma 120.00
loop_
_atom_site_label
_atom_site_fract_x
_atom_site_fract_y
_atom_site_fract_z
Ho1 0.0000 0.0000 0.2250
Lu1 0.0000 0.0000 0.0000
Co1 0.0000 0.0000 0.5000
```

Results
Its density is 8.9 Mg/m³.

***

Top of the stability list: A, leading by 80 meV per atom.

***

A.
## Ho6MgCo2 (PBE)

Data for Ho6MgCo2 after structural relaxation.

CIF file:
```
data_Ho6MgCo2
_space_group_name_H-M_alt 'C 1 2/m 1'
_space_group_IT_number 12
_space_group_name_Hall '-C 2y'
_cell_length_a 11.036
_cell_length_b 4.567
_cell_length_c 9.486
_cell_angle_alpha 90.00
_cell_angle_beta 105.88
_cell_angle_gamma 90.00
loop_
_atom_site_label
_atom_site_fract_x
_atom_site_fract_y
_atom_site_fract_z
Ho1 0.022 0.000 0.345
Ho2 0.170 0.500 0.869
Ho3 0.227 0.500 0.349
Mg1 0.000 0.000 0.000
Co1 0.104 0.500 0.572
```

Results
Its density is 8.2 Mg/m³.

***

B.
## Ho6MgCo2 (PBE)

Data for Ho6MgCo2 after structural relaxation.

CIF file:
```
data_Ho6MgCo2
_space_group_name_H-M_alt 'I m m m'
_space_group_IT_number 71
_space_group_name_Hall '-I 2 2'
_cell_length_a 9.287
_cell_length_b 9.607
_cell_length_c 9.987
_cell_angle_alpha 90.00
_cell_angle_beta 90.00
_cell_angle_gamma 90.00
loop_
_atom_site_label
_atom_site_fract_x
_atom_site_fract_y
_atom_site_fract_z
Ho1 0.000 0.204 0.236
Ho2 0.186 0.500 0.180
Ho3 0.215 0.317 0.500
Mg1 0.000 0.000 0.000
Mg2 0.000 0.000 0.500
Co1 0.000 0.329 0.000
Co2 0.000 0.500 0.386
```

Results
Its density is 8.4 Mg/m³.

***

Top of the stability list: B, leading by 125 meV per atom.